[1]
Computed, not measured: Cs2Sn2Se5 after structural relaxation at the PBE level of DFT.

Results
Formation energy from raw total energies = -0.625 eV/atom
Total energy = -3.64 eV/atom
Distance to the lowest polymorph of the same formula = 0.0 meV/atom

abc: 25.247 7.944 7.048
angles: 90.00 105.02 90.00
Space group Cc (No. 9)
One atom of each set of equivalent atoms:
Cs  0.000  0.240  0.000 [4 per cell]
Cs  0.220  0.255  0.202 [4 per cell]
Sn  0.150  0.248  0.626 [4 per cell]
Sn  0.353  0.147  0.750 [4 per cell]
Se  0.115  0.493  0.849 [4 per cell]
Se  0.116  0.004  0.852 [4 per cell]
Se  0.258  0.298  0.751 [4 per cell]
Se  0.357  0.160  0.379 [4 per cell]
Se  0.432  0.309  0.942 [4 per cell]

=====

[2]
Computed, not measured: NpSIF after structural relaxation at the PBE level of DFT.

Results
Formation energy from raw total energies = -1.720 eV/atom
Total energy = -6.84 eV/atom

abc: 4.0510 4.0510 22.9127
angles: 90.00 90.00 120.00
Space group R3m (No. 160, hexagonal axes)
One atom of each set of equivalent atoms:
Np  0.0000  0.0000  0.0000 [3 per cell]
S  0.0000  0.0000  0.6022 [3 per cell]
I  0.0000  0.0000  0.7713 [3 per cell]
F  0.0000  0.0000  0.3473 [3 per cell]

=====

Number 1: total magnetization 0.000 μB/f.u.. Number 2: total magnetization 3.000 μB/f.u..